A relaxed structure of RbV3F9. Source: the Alexandria database, functional GGA+U.

Summary:
- N(E_F) (states/eV/f.u.) = 3.2
- M_tot (μB per cell) = 7.0
- symmetry = P6/mmm
- total energy (eV per cell) = -77.355

Cell: 3.9824 7.6568 7.6568 Å, 120.00 90.00 90.00°
Last column: magnetic moment on the atom in μB.
Element x y z (fractional)
F 0.5000 0.2016 0.7984  0.00
F 0.0000 0.0000 0.5000  -0.01
F 0.5000 0.7984 0.5968  0.00
F 0.5000 0.5968 0.7984  0.00
F 0.5000 0.2016 0.4032  0.00
F 0.5000 0.4032 0.2016  0.00
F 0.0000 0.5000 0.0000  -0.01
F 0.0000 0.5000 0.5000  -0.01
F 0.5000 0.7984 0.2016  0.00
V 0.5000 0.0000 0.5000  2.21
V 0.5000 0.5000 0.5000  2.21
V 0.5000 0.5000 0.0000  2.21
Rb 0.0000 0.0000 0.0000  0.00